# CdPBr, relaxed, DFT GGA-PBE
# Energy above the lowest structure with this stoichiometry: 614 meV per atom
data_CdPBr
_space_group_name_H-M_alt 'F m m 2'
_space_group_IT_number 42
_space_group_name_Hall 'F 2 -2'
_cell_length_a 4.025
_cell_length_b 5.735
_cell_length_c 12.375
_cell_angle_alpha 90.00
_cell_angle_beta 90.00
_cell_angle_gamma 90.00
loop_
_atom_site_label
_atom_site_type_symbol
_atom_site_fract_x
_atom_site_fract_y
_atom_site_fract_z
Cd1 Cd 0.000 0.000 0.000
P1 P 0.000 0.000 0.363
Br1 Br 0.000 0.000 0.657